Compound: ZrTaAg2
Source: Alexandria via LeMat-Bulk
Functional: PBE
Structure: optimized geometry

CIF file:
```
data_ZrTaAg2
_cell_length_a 9.819
_cell_length_b 2.932
_cell_length_c 5.384
_cell_angle_alpha 90.00
_cell_angle_beta 100.55
_cell_angle_gamma 90.00
_space_group_name_H-M_alt 'C 1 m 1'
_space_group_IT_number 8
_space_group_name_Hall 'C -2y'
loop_
_atom_site_label
_atom_site_type_symbol
_atom_site_fract_x
_atom_site_fract_y
_atom_site_fract_z
Zr1 Zr 0.000 0.000 0.000
Ta1 Ta 0.240 0.500 0.262
Ag1 Ag 0.242 0.000 0.747
Ag2 Ag 0.492 0.000 0.496
```

Computed properties:
Polymorph energy (0 for the lowest one) = 142 meV/atom
Calculated formation energy = 210 meV per atom